# 1
{
  "formula": "Li2CrCu",
  "functional": "PBE-GGA",
  "state": "optimized geometry",
  "dft_energy_ev_per_atom": -4.08,
  "magnetic_moment_mub_per_cell": 0.19,
  "formation_enthalpy_0k_ev_per_atom": 0.31,
  "lattice_angstrom": [[-0.199, -2.372, 0.315], [1.884, 0.039, 1.488], [-5.367, 1.346, 6.757]],
  "species": ["Cr", "Li", "Li", "Cu"],
  "fractional_positions": [[0.500, 0.500, 0.250], [0.000, 0.000, 0.509], [0.000, 0.000, 0.991], [0.500, 0.500, 0.750]]
}

---

# 2
{
  "formula": "TlHgMoAs2",
  "functional": "PBE-GGA",
  "state": "optimized geometry",
  "dft_energy_ev_per_atom": -4.36,
  "magnetic_moment_mub_per_cell": 0.00,
  "formation_enthalpy_0k_ev_per_atom": 0.20,
  "lattice_angstrom": [[-3.410, 3.158, 1.463], [-2.503, -4.032, 2.871], [2.698, 1.105, 3.905]],
  "species": ["Mo", "As", "As", "Hg", "Tl"],
  "fractional_positions": [[0.000, 0.000, 0.000], [0.000, 0.000, 0.500], [0.500, 0.000, 0.000], [0.000, 0.500, 0.000], [0.500, 0.500, 0.500]]
}

---

# 3
{
  "formula": "Nd8DyTl6",
  "functional": "PBE-GGA",
  "state": "optimized geometry",
  "dft_energy_ev_per_atom": -3.96,
  "magnetic_moment_mub_per_cell": 0.00,
  "formation_enthalpy_0k_ev_per_atom": -0.17,
  "lattice_angstrom": [[-7.619, 5.249, -1.218], [-8.473, -3.740, 1.138], [-5.239, 2.178, 6.409]],
  "species": ["Tl", "Nd", "Nd", "Nd", "Tl", "Tl", "Nd", "Nd", "Nd", "Tl", "Nd", "Dy", "Tl", "Tl", "Nd"],
  "fractional_positions": [[0.268, 0.615, 0.174], [0.552, 0.224, 0.336], [0.224, 0.889, 0.336], [0.665, 0.665, 0.004], [0.943, 0.268, 0.174], [0.057, 0.732, 0.826], [0.335, 0.335, 0.996], [0.111, 0.448, 0.664], [0.889, 0.552, 0.336], [0.385, 0.057, 0.826], [0.776, 0.111, 0.664], [0.000, 0.000, 0.000], [0.732, 0.385, 0.826], [0.615, 0.943, 0.174], [0.448, 0.776, 0.664]]
}

---

# 4
{
  "formula": "Pr2Er5Fe2",
  "functional": "PBE-GGA",
  "state": "optimized geometry",
  "dft_energy_ev_per_atom": -5.46,
  "magnetic_moment_mub_per_cell": 3.47,
  "formation_enthalpy_0k_ev_per_atom": 0.01,
  "lattice_angstrom": [[6.576, 0.000, 2.387], [0.000, 6.981, 0.000], [-0.144, 0.000, 10.649]],
  "species": ["Er", "Er", "Fe", "Er", "Er", "Pr", "Pr", "Fe", "Er", "Er", "Fe", "Er", "Er", "Fe", "Er", "Er", "Pr", "Pr"],
  "fractional_positions": [[0.424, 0.178, 0.792], [0.500, 0.500, 0.000], [0.610, 0.107, 0.000], [0.285, 0.678, 0.792], [0.000, 0.000, 0.000], [0.731, 0.500, 0.538], [0.769, 0.000, 0.462], [0.890, 0.607, 0.000], [0.076, 0.678, 0.208], [0.924, 0.322, 0.792], [0.390, 0.893, 0.000], [0.785, 0.822, 0.792], [0.715, 0.322, 0.208], [0.110, 0.393, 0.000], [0.215, 0.178, 0.208], [0.576, 0.822, 0.208], [0.269, 0.500, 0.462], [0.231, 0.000, 0.538]]
}

---

# 5
{
  "formula": "BaLiAcPb",
  "functional": "PBE-GGA",
  "state": "optimized geometry",
  "dft_energy_ev_per_atom": -3.20,
  "magnetic_moment_mub_per_cell": 0.00,
  "formation_enthalpy_0k_ev_per_atom": -0.29,
  "lattice_angstrom": [[-5.145, -2.252, -1.900], [-3.531, -2.914, 3.767], [-5.121, 2.427, 1.742]],
  "species": ["Ac", "Ba", "Pb", "Li"],
  "fractional_positions": [[0.000, 0.000, 0.000], [0.500, 0.500, 0.500], [0.250, 0.250, 0.250], [0.750, 0.750, 0.750]]
}

---

# 6
{
  "formula": "Ta2ZnCr",
  "functional": "PBE-GGA",
  "state": "optimized geometry",
  "dft_energy_ev_per_atom": -8.28,
  "magnetic_moment_mub_per_cell": 0.00,
  "formation_enthalpy_0k_ev_per_atom": 0.37,
  "lattice_angstrom": [[9.685, 0.024, 0.014], [9.274, 2.790, 0.014], [9.274, 1.376, 2.426]],
  "species": ["Ta", "Zn", "Cr", "Ta"],
  "fractional_positions": [[0.005, 0.005, 0.005], [0.495, 0.495, 0.495], [0.754, 0.754, 0.754], [0.247, 0.247, 0.247]]
}

---

# 7
{
  "formula": "Zn2HgBi2",
  "functional": "PBE-GGA",
  "state": "optimized geometry",
  "dft_energy_ev_per_atom": -1.94,
  "magnetic_moment_mub_per_cell": 0.00,
  "formation_enthalpy_0k_ev_per_atom": 0.18,
  "lattice_angstrom": [[-0.556, -7.704, -4.124], [6.536, 2.375, -5.320], [2.257, -1.329, 2.179]],
  "species": ["Zn", "Bi", "Bi", "Zn", "Hg", "Zn", "Bi", "Hg", "Zn", "Bi"],
  "fractional_positions": [[0.856, 0.356, 0.500], [0.349, 0.849, 0.000], [0.849, 0.651, 0.000], [0.356, 0.144, 0.500], [0.000, 0.000, 0.000], [0.144, 0.644, 0.500], [0.651, 0.151, 0.000], [0.500, 0.500, 0.000], [0.644, 0.856, 0.500], [0.151, 0.349, 0.000]]
}

---

# 8
{
  "formula": "FeCo2H",
  "functional": "PBE-GGA",
  "state": "optimized geometry",
  "dft_energy_ev_per_atom": -6.48,
  "magnetic_moment_mub_per_cell": 5.25,
  "lattice_angstrom": [[2.556, 0.000, 0.000], [1.278, 2.214, 0.000], [1.278, 0.738, 6.230]],
  "species": ["Fe", "Co", "Co", "H"],
  "fractional_positions": [[0.500, 0.500, 0.501], [0.058, 0.058, 0.827], [0.275, 0.275, 0.174], [0.667, 0.667, 0.998]]
}

---

# 9
{
  "formula": "SrSb",
  "functional": "PBE-GGA",
  "state": "optimized geometry",
  "dft_energy_ev_per_atom": -3.68,
  "formation_energy_uncorrected_mev_per_atom": -777.0,
  "magnetic_moment_mub_per_cell": 0.00,
  "lattice_angstrom": [[3.796, 0.000, 0.000], [0.000, 5.610, 0.000], [0.000, 0.000, 6.758]],
  "species": ["Sr", "Sb", "Sr", "Sb"],
  "fractional_positions": [[0.000, 0.000, 0.625], [0.000, 0.000, 0.125], [0.500, 0.500, 0.125], [0.500, 0.500, 0.625]]
}

---

# 10
{
  "formula": "V2CoNi3",
  "functional": "PBE-GGA",
  "state": "optimized geometry",
  "dft_energy_ev_per_atom": -7.15,
  "magnetic_moment_mub_per_cell": 0.00,
  "formation_enthalpy_0k_ev_per_atom": -0.04,
  "lattice_angstrom": [[-4.340, 1.507, -0.024], [-0.097, -0.197, 5.093], [4.160, 4.979, 0.272]],
  "species": ["V", "Ni", "Ni", "Ni", "Ni", "Co", "Ni", "Ni", "V", "Co", "V", "V"],
  "fractional_positions": [[0.141, 0.000, 0.282], [0.314, 0.750, 0.630], [0.272, 0.250, 0.000], [0.316, 0.250, 0.630], [0.684, 0.750, 0.370], [0.250, 0.750, 0.000], [0.728, 0.750, 0.000], [0.686, 0.250, 0.370], [0.859, 0.500, 0.718], [0.750, 0.250, 0.000], [0.859, 0.000, 0.718], [0.141, 0.500, 0.282]]
}

---

# 11
{
  "formula": "KBa2SbH",
  "functional": "PBE-GGA",
  "state": "optimized geometry",
  "dft_energy_ev_per_atom": -3.01,
  "magnetic_moment_mub_per_cell": 0.55,
  "lattice_angstrom": [[-1.673, 5.277, -0.739], [-5.161, -1.411, 1.602], [1.243, 1.090, 4.964]],
  "species": ["Ba", "Ba", "K", "Sb", "H"],
  "fractional_positions": [[0.500, 0.000, 0.000], [0.000, 0.500, 0.000], [0.000, 0.000, 0.500], [0.500, 0.500, 0.500], [0.000, 0.000, 0.000]]
}

---

# 12
{
  "formula": "Ag5Br2Cl2",
  "functional": "PBE-GGA",
  "state": "optimized geometry",
  "dft_energy_ev_per_atom": -2.54,
  "formation_energy_uncorrected_mev_per_atom": -176.6,
  "magnetic_moment_mub_per_cell": 0.00,
  "lattice_angstrom": [[0.530, 4.224, 1.476], [0.328, 0.818, 4.419], [14.597, 0.158, 1.186]],
  "species": ["Br", "Cl", "Ag", "Ag", "Ag", "Cl", "Ag", "Ag", "Br"],
  "fractional_positions": [[0.687, 0.687, 0.939], [0.106, 0.106, 0.683], [0.994, 0.994, 0.018], [0.868, 0.868, 0.395], [0.751, 0.751, 0.748], [0.930, 0.930, 0.210], [0.453, 0.453, 0.642], [0.619, 0.619, 0.142], [0.517, 0.517, 0.449]]
}

---

What did the fifth record say?
{
  "formula": "BaLiAcPb",
  "functional": "PBE-GGA",
  "state": "optimized geometry",
  "dft_energy_ev_per_atom": -3.20,
  "magnetic_moment_mub_per_cell": 0.00,
  "formation_enthalpy_0k_ev_per_atom": -0.29,
  "lattice_angstrom": [[-5.145, -2.252, -1.900], [-3.531, -2.914, 3.767], [-5.121, 2.427, 1.742]],
  "species": ["Ac", "Ba", "Pb", "Li"],
  "fractional_positions": [[0.000, 0.000, 0.000], [0.500, 0.500, 0.500], [0.250, 0.250, 0.250], [0.750, 0.750, 0.750]]
}